# 1
Here is a relaxed structure of KGa3Co from Alexandria. Energies are from GGA-PBEsol.

Lattice parameters (Å, degrees): 4.606 4.606 4.606 90.00 90.00 90.00
Fractional coordinates of all 5 atoms:
K (0.000, 0.000, 0.000)
Ga (0.000, 0.500, 0.500)
Ga (0.500, 0.000, 0.500)
Ga (0.500, 0.500, 0.000)
Co (0.500, 0.500, 0.500)

- Mass density: 5.220 g cm⁻³
- Size of the total moment: 0.002 μB per cell
- Energy: -3.93 eV per atom
- Space-group type: Pm-3m

=====

# 2
Here is a relaxed structure of La3GaCo from Alexandria. Energies are from GGA-PBEsol.

Lattice parameters (Å, degrees): 5.596 5.596 5.596 90.00 90.00 90.00
Fractional coordinates of all 5 atoms:
La (0.000, 0.000, 0.500)
La (0.000, 0.500, 0.000)
La (0.500, 0.000, 0.000)
Ga (0.000, 0.000, 0.000)
Co (0.500, 0.500, 0.500)

- Mass density: 5.167 g cm⁻³
- Size of the total moment: 0.392 μB per cell
- Energy: -4.67 eV per atom
- Space-group type: Pm-3m

=====

# 3
Here is a relaxed structure of La2Ga7Co from Alexandria. Energies are from GGA-PBEsol.

Lattice parameters (Å, degrees): 4.218 4.218 10.530 90.00 90.00 90.00
Fractional coordinates of all 10 atoms:
La (0.000, 0.500, 0.244)
La (0.500, 0.000, 0.756)
Ga (0.000, 0.000, 0.000)
Ga (0.000, 0.000, 0.500)
Ga (0.000, 0.500, 0.641)
Ga (0.000, 0.500, 0.879)
Ga (0.500, 0.000, 0.121)
Ga (0.500, 0.000, 0.359)
Ga (0.500, 0.500, 0.500)
Co (0.500, 0.500, 0.000)

- Mass density: 7.312 g cm⁻³
- Size of the total moment: 0.640 μB per cell
- Energy: -4.70 eV per atom
- Space-group type: P-4m2